Entry w
# PBE-GGA Cd2OsBr, relaxed
# space group	Imm2, No. 44
data_Cd2OsBr
_symmetry_space_group_name_H-M 'P 1'
_symmetry_Int_Tables_number 1
_symmetry_space_group_name_Hall 'P 1'
_cell_length_a 7.168
_cell_length_b 7.168
_cell_length_c 4.742
_cell_angle_alpha 70.63
_cell_angle_beta 70.63
_cell_angle_gamma 24.31
loop_
_atom_site_label
_atom_site_fract_x
_atom_site_fract_y
_atom_site_fract_z
_atom_site_occupancy
Cd1 0.168 0.168 0.332 1
Cd2 0.011 0.011 0.989 1
Br1 0.832 0.832 0.668 1
Os1 0.489 0.489 0.511 1

Entry x
# PBE-GGA Cd2OsBr, relaxed
# space group	Immm, No. 71
data_Cd2OsBr
_symmetry_space_group_name_H-M 'P 1'
_symmetry_Int_Tables_number 1
_symmetry_space_group_name_Hall 'P 1'
_cell_length_a 7.153
_cell_length_b 7.153
_cell_length_c 7.153
_cell_angle_alpha 156.44
_cell_angle_beta 143.48
_cell_angle_gamma 43.92
loop_
_atom_site_label
_atom_site_fract_x
_atom_site_fract_y
_atom_site_fract_z
_atom_site_occupancy
Br1 0.250 0.750 0.500 1
Cd1 0.561 0.561 0.000 1
Cd2 0.939 0.939 0.000 1
Os1 0.750 0.250 0.500 1

entry w comes first in stability; the runner-up is 0.225 eV/atom higher.

Entry w
# PBE-GGA CdOsBr3, relaxed
# space group	Pm-3m, No. 221
data_CdOsBr3
_symmetry_space_group_name_H-M 'P 1'
_symmetry_Int_Tables_number 1
_symmetry_space_group_name_Hall 'P 1'
_cell_length_a 5.105
_cell_length_b 5.105
_cell_length_c 5.105
_cell_angle_alpha 90.00
_cell_angle_beta 90.00
_cell_angle_gamma 90.00
loop_
_atom_site_label
_atom_site_fract_x
_atom_site_fract_y
_atom_site_fract_z
_atom_site_occupancy
Os1 0.000 0.000 0.000 1
Br1 0.000 0.000 0.500 1
Br2 0.000 0.500 0.000 1
Br3 0.500 0.000 0.000 1
Cd1 0.500 0.500 0.500 1

Entry x
# PBE-GGA CdOsBr3, relaxed
# space group	Pm-3m, No. 221
data_CdOsBr3
_symmetry_space_group_name_H-M 'P 1'
_symmetry_Int_Tables_number 1
_symmetry_space_group_name_Hall 'P 1'
_cell_length_a 5.465
_cell_length_b 5.465
_cell_length_c 5.465
_cell_angle_alpha 90.00
_cell_angle_beta 90.00
_cell_angle_gamma 90.00
loop_
_atom_site_label
_atom_site_fract_x
_atom_site_fract_y
_atom_site_fract_z
_atom_site_occupancy
Br1 0.000 0.000 0.500 1
Br2 0.500 0.000 0.000 1
Br3 0.000 0.500 0.000 1
Os1 0.500 0.500 0.500 1
Cd1 0.000 0.000 0.000 1

entry w comes first in stability; the runner-up is 0.580 eV/atom higher.

Entry w
# PBE-GGA Cd3OsBr, relaxed
# space group	Pm-3m, No. 221
data_Cd3OsBr
_symmetry_space_group_name_H-M 'P 1'
_symmetry_Int_Tables_number 1
_symmetry_space_group_name_Hall 'P 1'
_cell_length_a 5.306
_cell_length_b 5.306
_cell_length_c 5.306
_cell_angle_alpha 90.00
_cell_angle_beta 90.00
_cell_angle_gamma 90.00
loop_
_atom_site_label
_atom_site_fract_x
_atom_site_fract_y
_atom_site_fract_z
_atom_site_occupancy
Cd1 0.500 0.000 0.000 1
Cd2 0.000 0.500 0.000 1
Cd3 0.000 0.000 0.500 1
Br1 0.500 0.500 0.500 1
Os1 0.000 0.000 0.000 1

Entry x
# PBE-GGA Cd3OsBr, relaxed
# space group	Pm-3m, No. 221
data_Cd3OsBr
_symmetry_space_group_name_H-M 'P 1'
_symmetry_Int_Tables_number 1
_symmetry_space_group_name_Hall 'P 1'
_cell_length_a 5.298
_cell_length_b 5.298
_cell_length_c 5.298
_cell_angle_alpha 90.00
_cell_angle_beta 90.00
_cell_angle_gamma 90.00
loop_
_atom_site_label
_atom_site_fract_x
_atom_site_fract_y
_atom_site_fract_z
_atom_site_occupancy
Cd1 0.000 0.000 0.500 1
Cd2 0.000 0.500 0.000 1
Cd3 0.500 0.000 0.000 1
Os1 0.500 0.500 0.500 1
Br1 0.000 0.000 0.000 1

entry w comes first in stability; the runner-up is 0.980 eV/atom higher.

Entry w
# PBE-GGA CdP2Br, relaxed
# space group	P4/mmm, No. 123
data_CdP2Br
_symmetry_space_group_name_H-M 'P 1'
_symmetry_Int_Tables_number 1
_symmetry_space_group_name_Hall 'P 1'
_cell_length_a 4.053
_cell_length_b 4.053
_cell_length_c 5.862
_cell_angle_alpha 90.00
_cell_angle_beta 90.00
_cell_angle_gamma 90.00
loop_
_atom_site_label
_atom_site_fract_x
_atom_site_fract_y
_atom_site_fract_z
_atom_site_occupancy
P1 0.000 0.000 0.576 1
P2 0.000 0.000 0.924 1
Br1 0.500 0.500 0.250 1
Cd1 0.500 0.500 0.750 1

Entry x
# PBE-GGA CdP2Br, relaxed
# space group	C2/m, No. 12
data_CdP2Br
_symmetry_space_group_name_H-M 'P 1'
_symmetry_Int_Tables_number 1
_symmetry_space_group_name_Hall 'P 1'
_cell_length_a 6.366
_cell_length_b 6.366
_cell_length_c 4.756
_cell_angle_alpha 96.06
_cell_angle_beta 96.06
_cell_angle_gamma 31.31
loop_
_atom_site_label
_atom_site_fract_x
_atom_site_fract_y
_atom_site_fract_z
_atom_site_occupancy
Cd1 0.750 0.750 0.750 1
P1 0.968 0.968 0.860 1
P2 0.532 0.532 0.640 1
Br1 0.250 0.250 0.250 1

Entry y
# PBE-GGA CdP2Br, relaxed
# space group	Cmm2, No. 35
data_CdP2Br
_symmetry_space_group_name_H-M 'P 1'
_symmetry_Int_Tables_number 1
_symmetry_space_group_name_Hall 'P 1'
_cell_length_a 4.666
_cell_length_b 4.666
_cell_length_c 9.125
_cell_angle_alpha 90.00
_cell_angle_beta 90.00
_cell_angle_gamma 137.25
loop_
_atom_site_label
_atom_site_fract_x
_atom_site_fract_y
_atom_site_fract_z
_atom_site_occupancy
Br1 0.000 0.000 0.546 1
P1 0.000 0.000 0.019 1
P2 0.500 0.500 0.166 1
Cd1 0.500 0.500 0.769 1

Entry z
# PBE-GGA CdP2Br, relaxed
# space group	Amm2, No. 38
data_CdP2Br
_symmetry_space_group_name_H-M 'P 1'
_symmetry_Int_Tables_number 1
_symmetry_space_group_name_Hall 'P 1'
_cell_length_a 3.420
_cell_length_b 5.499
_cell_length_c 5.498
_cell_angle_alpha 58.59
_cell_angle_beta 90.00
_cell_angle_gamma 90.00
loop_
_atom_site_label
_atom_site_fract_x
_atom_site_fract_y
_atom_site_fract_z
_atom_site_occupancy
Br1 0.000 0.508 0.508 1
P1 0.500 0.188 0.188 1
P2 0.000 0.034 0.034 1
Cd1 0.500 0.769 0.770 1

entry x comes first in stability; the runner-up is 0.131 eV/atom higher.

Entry w
# PBE-GGA CdP2Br, relaxed
# space group	Pmmm, No. 47
data_CdP2Br
_symmetry_space_group_name_H-M 'P 1'
_symmetry_Int_Tables_number 1
_symmetry_space_group_name_Hall 'P 1'
_cell_length_a 3.241
_cell_length_b 5.269
_cell_length_c 4.694
_cell_angle_alpha 90.00
_cell_angle_beta 90.00
_cell_angle_gamma 90.00
loop_
_atom_site_label
_atom_site_fract_x
_atom_site_fract_y
_atom_site_fract_z
_atom_site_occupancy
Br1 0.500 0.000 0.500 1
Cd1 0.000 0.500 0.500 1
P1 0.000 0.000 0.000 1
P2 0.500 0.500 0.000 1

Entry x
# PBE-GGA CdP2Br, relaxed
# space group	R-3m, No. 166
data_CdP2Br
_symmetry_space_group_name_H-M 'P 1'
_symmetry_Int_Tables_number 1
_symmetry_space_group_name_Hall 'P 1'
_cell_length_a 12.016
_cell_length_b 12.016
_cell_length_c 12.016
_cell_angle_alpha 14.44
_cell_angle_beta 14.44
_cell_angle_gamma 14.44
loop_
_atom_site_label
_atom_site_fract_x
_atom_site_fract_y
_atom_site_fract_z
_atom_site_occupancy
P1 0.478 0.478 0.478 1
P2 0.022 0.022 0.022 1
Br1 0.250 0.250 0.250 1
Cd1 0.750 0.750 0.750 1

entry w comes first in stability; the runner-up is 0.070 eV/atom higher.

Entry w
# PBE-GGA CdP2Br, relaxed
# space group	Imm2, No. 44
data_CdP2Br
_symmetry_space_group_name_H-M 'P 1'
_symmetry_Int_Tables_number 1
_symmetry_space_group_name_Hall 'P 1'
_cell_length_a 8.712
_cell_length_b 8.712
_cell_length_c 8.712
_cell_angle_alpha 157.94
_cell_angle_beta 154.70
_cell_angle_gamma 33.81
loop_
_atom_site_label
_atom_site_fract_x
_atom_site_fract_y
_atom_site_fract_z
_atom_site_occupancy
Cd1 0.790 0.290 0.500 1
P1 0.196 0.696 0.500 1
P2 0.111 0.111 0.000 1
Br1 0.403 0.403 0.000 1

Entry x
# PBE-GGA CdP2Br, relaxed
# space group	P4/mmm, No. 123
data_CdP2Br
_symmetry_space_group_name_H-M 'P 1'
_symmetry_Int_Tables_number 1
_symmetry_space_group_name_Hall 'P 1'
_cell_length_a 3.716
_cell_length_b 3.716
_cell_length_c 6.698
_cell_angle_alpha 90.00
_cell_angle_beta 90.00
_cell_angle_gamma 90.00
loop_
_atom_site_label
_atom_site_fract_x
_atom_site_fract_y
_atom_site_fract_z
_atom_site_occupancy
Br1 0.500 0.500 0.500 1
Cd1 0.000 0.000 0.500 1
P1 0.000 0.500 0.000 1
P2 0.500 0.000 0.000 1

Entry y
# PBE-GGA CdP2Br, relaxed
# space group	I-4m2, No. 119
data_CdP2Br
_symmetry_space_group_name_H-M 'P 1'
_symmetry_Int_Tables_number 1
_symmetry_space_group_name_Hall 'P 1'
_cell_length_a 4.825
_cell_length_b 4.825
_cell_length_c 4.825
_cell_angle_alpha 119.93
_cell_angle_beta 119.93
_cell_angle_gamma 90.12
loop_
_atom_site_label
_atom_site_fract_x
_atom_site_fract_y
_atom_site_fract_z
_atom_site_occupancy
P1 0.250 0.750 0.500 1
P2 0.000 0.000 0.000 1
Cd1 0.750 0.250 0.500 1
Br1 0.500 0.500 0.000 1

entry w comes first in stability; the runner-up is 0.471 eV/atom higher.

Entry w
# PBE-GGA Cd2PBr, relaxed
# space group	C2/m, No. 12
data_Cd2PBr
_symmetry_space_group_name_H-M 'P 1'
_symmetry_Int_Tables_number 1
_symmetry_space_group_name_Hall 'P 1'
_cell_length_a 7.552
_cell_length_b 5.757
_cell_length_c 3.320
_cell_angle_alpha 70.59
_cell_angle_beta 93.84
_cell_angle_gamma 132.47
loop_
_atom_site_label
_atom_site_fract_x
_atom_site_fract_y
_atom_site_fract_z
_atom_site_occupancy
Cd1 0.000 0.000 0.000 1
Cd2 0.500 0.000 0.500 1
P1 0.000 0.500 0.500 1
Br1 0.500 0.500 0.000 1

Entry x
# PBE-GGA Cd2PBr, relaxed
# space group	P4mm, No. 99
data_Cd2PBr
_symmetry_space_group_name_H-M 'P 1'
_symmetry_Int_Tables_number 1
_symmetry_space_group_name_Hall 'P 1'
_cell_length_a 3.837
_cell_length_b 3.837
_cell_length_c 7.205
_cell_angle_alpha 90.00
_cell_angle_beta 90.00
_cell_angle_gamma 90.00
loop_
_atom_site_label
_atom_site_fract_x
_atom_site_fract_y
_atom_site_fract_z
_atom_site_occupancy
Br1 0.500 0.500 0.812 1
Cd1 0.000 0.000 0.991 1
Cd2 0.500 0.500 0.360 1
P1 0.000 0.000 0.337 1

Entry y
# PBE-GGA Cd2PBr, relaxed
# space group	Cmmm, No. 65
data_Cd2PBr
_symmetry_space_group_name_H-M 'P 1'
_symmetry_Int_Tables_number 1
_symmetry_space_group_name_Hall 'P 1'
_cell_length_a 3.777
_cell_length_b 3.777
_cell_length_c 7.731
_cell_angle_alpha 90.00
_cell_angle_beta 90.00
_cell_angle_gamma 114.55
loop_
_atom_site_label
_atom_site_fract_x
_atom_site_fract_y
_atom_site_fract_z
_atom_site_occupancy
P1 0.500 0.500 0.250 1
Cd1 0.000 0.000 0.465 1
Cd2 0.000 0.000 0.035 1
Br1 0.500 0.500 0.750 1

Entry z
# PBE-GGA Cd2PBr, relaxed
# space group	Pmn2_1, No. 31
data_Cd2PBr
_symmetry_space_group_name_H-M 'P 1'
_symmetry_Int_Tables_number 1
_symmetry_space_group_name_Hall 'P 1'
_cell_length_a 4.429
_cell_length_b 6.025
_cell_length_c 9.430
_cell_angle_alpha 89.98
_cell_angle_beta 89.98
_cell_angle_gamma 90.01
loop_
_atom_site_label
_atom_site_fract_x
_atom_site_fract_y
_atom_site_fract_z
_atom_site_occupancy
Br1 0.701 0.349 0.502 1
Br2 0.201 0.849 0.714 1
Cd1 0.701 0.671 0.168 1
Cd2 0.201 0.061 0.448 1
Cd3 0.201 0.171 0.048 1
Cd4 0.701 0.561 0.767 1
P1 0.201 0.852 0.225 1
P2 0.701 0.352 0.991 1

entry z comes first in stability; the runner-up is 0.137 eV/atom higher.

Entry w
# PBE-GGA Cd2PBr, relaxed
# space group	Fm-3m, No. 225
data_Cd2PBr
_symmetry_space_group_name_H-M 'P 1'
_symmetry_Int_Tables_number 1
_symmetry_space_group_name_Hall 'P 1'
_cell_length_a 5.026
_cell_length_b 5.026
_cell_length_c 5.026
_cell_angle_alpha 60.00
_cell_angle_beta 60.00
_cell_angle_gamma 60.00
loop_
_atom_site_label
_atom_site_fract_x
_atom_site_fract_y
_atom_site_fract_z
_atom_site_occupancy
P1 0.000 0.000 0.000 1
Cd1 0.250 0.250 0.250 1
Cd2 0.750 0.750 0.750 1
Br1 0.500 0.500 0.500 1

Entry x
# PBE-GGA Cd2PBr, relaxed
# space group	Immm, No. 71
data_Cd2PBr
_symmetry_space_group_name_H-M 'P 1'
_symmetry_Int_Tables_number 1
_symmetry_space_group_name_Hall 'P 1'
_cell_length_a 5.764
_cell_length_b 5.764
_cell_length_c 5.764
_cell_angle_alpha 140.80
_cell_angle_beta 97.81
_cell_angle_gamma 95.12
loop_
_atom_site_label
_atom_site_fract_x
_atom_site_fract_y
_atom_site_fract_z
_atom_site_occupancy
P1 0.750 0.250 0.500 1
Br1 0.250 0.750 0.500 1
Cd1 0.971 0.971 0.000 1
Cd2 0.529 0.529 0.000 1

Entry y
# PBE-GGA Cd2PBr, relaxed
# space group	I-42d, No. 122
data_Cd2PBr
_symmetry_space_group_name_H-M 'P 1'
_symmetry_Int_Tables_number 1
_symmetry_space_group_name_Hall 'P 1'
_cell_length_a 6.209
_cell_length_b 6.209
_cell_length_c 7.723
_cell_angle_alpha 66.30
_cell_angle_beta 66.30
_cell_angle_gamma 90.00
loop_
_atom_site_label
_atom_site_fract_x
_atom_site_fract_y
_atom_site_fract_z
_atom_site_occupancy
Cd1 0.375 0.443 0.750 1
Cd2 0.557 0.125 0.250 1
Cd3 0.193 0.625 0.250 1
Cd4 0.875 0.807 0.750 1
P1 0.250 0.750 0.500 1
P2 0.500 0.500 0.000 1
Br1 0.750 0.250 0.500 1
Br2 0.000 0.000 0.000 1

Entry z
# PBE-GGA Cd2PBr, relaxed
# space group	P-4m2, No. 115
data_Cd2PBr
_symmetry_space_group_name_H-M 'P 1'
_symmetry_Int_Tables_number 1
_symmetry_space_group_name_Hall 'P 1'
_cell_length_a 4.466
_cell_length_b 6.085
_cell_length_c 4.466
_cell_angle_alpha 89.96
_cell_angle_beta 90.00
_cell_angle_gamma 90.00
loop_
_atom_site_label
_atom_site_fract_x
_atom_site_fract_y
_atom_site_fract_z
_atom_site_occupancy
Cd1 0.000 0.062 0.876 1
Cd2 0.500 0.438 0.375 1
Br1 0.500 0.750 0.875 1
P1 0.000 0.250 0.375 1

entry y comes first in stability; the runner-up is 0.014 eV/atom higher.

Entry w
# PBE-GGA Cd2PBr, relaxed
# space group	R-3m, No. 166
data_Cd2PBr
_symmetry_space_group_name_H-M 'P 1'
_symmetry_Int_Tables_number 1
_symmetry_space_group_name_Hall 'P 1'
_cell_length_a 7.147
_cell_length_b 7.147
_cell_length_c 7.147
_cell_angle_alpha 33.15
_cell_angle_beta 33.15
_cell_angle_gamma 33.15
loop_
_atom_site_label
_atom_site_fract_x
_atom_site_fract_y
_atom_site_fract_z
_atom_site_occupancy
Cd1 0.981 0.981 0.981 1
Cd2 0.519 0.519 0.519 1
Br1 0.750 0.750 0.750 1
P1 0.250 0.250 0.250 1

Entry x
# PBE-GGA Cd2PBr, relaxed
# space group	P2/m, No. 10
data_Cd2PBr
_symmetry_space_group_name_H-M 'P 1'
_symmetry_Int_Tables_number 1
_symmetry_space_group_name_Hall 'P 1'
_cell_length_a 3.684
_cell_length_b 3.464
_cell_length_c 7.442
_cell_angle_alpha 90.01
_cell_angle_beta 90.00
_cell_angle_gamma 90.00
loop_
_atom_site_label
_atom_site_fract_x
_atom_site_fract_y
_atom_site_fract_z
_atom_site_occupancy
Br1 0.500 0.750 0.750 1
P1 0.500 0.250 0.250 1
Cd1 0.000 0.752 0.447 1
Cd2 0.000 0.748 0.053 1

entry w comes first in stability; the runner-up is 0.222 eV/atom higher.

Entry w
# PBE-GGA Cd2PBr, relaxed
# space group	P2/m, No. 10
data_Cd2PBr
_symmetry_space_group_name_H-M 'P 1'
_symmetry_Int_Tables_number 1
_symmetry_space_group_name_Hall 'P 1'
_cell_length_a 4.069
_cell_length_b 7.005
_cell_length_c 5.671
_cell_angle_alpha 35.86
_cell_angle_beta 90.00
_cell_angle_gamma 90.00
loop_
_atom_site_label
_atom_site_fract_x
_atom_site_fract_y
_atom_site_fract_z
_atom_site_occupancy
Cd1 0.500 0.500 0.000 1
Cd2 0.000 0.000 0.000 1
P1 0.500 0.500 0.500 1
Br1 0.000 0.000 0.500 1

Entry x
# PBE-GGA Cd2PBr, relaxed
# space group	Imm2, No. 44
data_Cd2PBr
_symmetry_space_group_name_H-M 'P 1'
_symmetry_Int_Tables_number 1
_symmetry_space_group_name_Hall 'P 1'
_cell_length_a 7.599
_cell_length_b 7.599
_cell_length_c 7.599
_cell_angle_alpha 152.20
_cell_angle_beta 150.25
_cell_angle_gamma 41.17
loop_
_atom_site_label
_atom_site_fract_x
_atom_site_fract_y
_atom_site_fract_z
_atom_site_occupancy
Cd1 0.997 0.997 0.000 1
Cd2 0.680 0.180 0.500 1
P1 0.537 0.537 0.000 1
Br1 0.286 0.786 0.500 1

entry w comes first in stability; the runner-up is 0.010 eV/atom higher.